# 1
# CeUN3 (PBE, relaxed)
# Formation energy without anion corrections = -623 kJ/mol of formula units
# E_tot = -9.73 eV per atom
data_CeUN3
_chemical_formula_sum 'Ce2 U2 N6'
_symmetry_space_group_name_H-M 'P 1 21/m 1'
_symmetry_Int_Tables_number 11
_symmetry_space_group_name_Hall '-P 2yb'
_cell_length_a 6.285
_cell_length_b 3.499
_cell_length_c 6.948
_cell_angle_alpha 90.00
_cell_angle_beta 96.45
_cell_angle_gamma 90.00
loop_
_atom_site_label
_atom_site_fract_x
_atom_site_fract_y
_atom_site_fract_z
Ce1 0.231 0.250 0.364
U1 0.321 0.250 0.835
N1 0.017 0.250 0.692
N2 0.344 0.750 0.060
N3 0.386 0.750 0.643



# 2
# Ce3UN6 (PBE, relaxed)
# Energy relative to the lowest polymorph listed for this composition = 0.086 eV per atom
# Formation energy without anion corrections = -1290 kJ/mol of formula units
# E_tot = -9.24 eV per atom
data_Ce3UN6
_chemical_formula_sum 'Ce9 U3 N18'
_symmetry_space_group_name_H-M 'R 3'
_symmetry_Int_Tables_number 146
_symmetry_space_group_name_Hall 'R 3'
_cell_length_a 6.0184
_cell_length_b 6.0184
_cell_length_c 14.6926
_cell_angle_alpha 90.00
_cell_angle_beta 90.00
_cell_angle_gamma 120.00
loop_
_atom_site_label
_atom_site_fract_x
_atom_site_fract_y
_atom_site_fract_z
Ce1 0.0000 0.0000 0.0000
Ce2 0.0000 0.0000 0.2298
Ce3 0.0000 0.0000 0.4952
U1 0.0000 0.0000 0.7218
N1 0.0529 0.3541 0.7863
N2 0.0628 0.6766 0.2925



# 3
# Ce3U4N8 (PBE, relaxed)
# Formation energy without anion corrections = -1827 kJ/mol of formula units
# E_tot = -9.90 eV per atom
data_Ce3U4N8
_chemical_formula_sum 'Ce6 U8 N16'
_symmetry_space_group_name_H-M 'C 1 2/m 1'
_symmetry_Int_Tables_number 12
_symmetry_space_group_name_Hall '-C 2y'
_cell_length_a 9.854
_cell_length_b 9.911
_cell_length_c 7.001
_cell_angle_alpha 90.00
_cell_angle_beta 134.71
_cell_angle_gamma 90.00
loop_
_atom_site_label
_atom_site_fract_x
_atom_site_fract_y
_atom_site_fract_z
Ce1 0.000 0.000 0.000
Ce2 0.250 0.250 0.500
U1 0.000 0.000 0.500
U2 0.000 0.500 0.000
U3 0.250 0.250 0.000
N1 0.000 0.225 0.500
N2 0.000 0.259 0.000
N3 0.239 0.000 0.534
N4 0.244 0.000 0.962



# 4
# Ce2UN4 (PBE, relaxed)
# Energy relative to the lowest polymorph listed for this composition = 0.000 eV per atom
# Formation energy without anion corrections = -997 kJ/mol of formula units
# E_tot = -9.54 eV per atom
data_Ce2UN4
_chemical_formula_sum 'Ce4 U2 N8'
_symmetry_space_group_name_H-M 'P b a m'
_symmetry_Int_Tables_number 55
_symmetry_space_group_name_Hall '-P 2 2ab'
_cell_length_a 5.935
_cell_length_b 10.125
_cell_length_c 3.566
_cell_angle_alpha 90.00
_cell_angle_beta 90.00
_cell_angle_gamma 90.00
loop_
_atom_site_label
_atom_site_fract_x
_atom_site_fract_y
_atom_site_fract_z
Ce1 0.056 0.176 0.000
U1 0.000 0.500 0.500
N1 0.146 0.690 0.500
N2 0.232 0.459 0.000